Material: Mn3Pb4Se8
Method: DFT, PBE
State: relaxed

Values from the calculation:
* space-group type: R-3m
* DOS at the Fermi energy: 4.99 states/eV/f.u.

a b c (Å): 8.9381 8.9381 8.9381
angles (deg): 52.26 52.26 52.26
Positions (direct):
Mn (0.0000, 0.5000, 0.5000)
Mn (0.5000, 0.0000, 0.5000)
Mn (0.5000, 0.5000, 0.0000)
Pb (0.0000, 0.0000, 0.0000)
Pb (0.1468, 0.1468, 0.1468)
Pb (0.5000, 0.5000, 0.5000)
Pb (0.8532, 0.8532, 0.8532)
Se (0.2504, 0.2504, 0.7180)
Se (0.2504, 0.7180, 0.2504)
Se (0.2820, 0.7496, 0.7496)
Se (0.2831, 0.2831, 0.2831)
Se (0.7169, 0.7169, 0.7169)
Se (0.7180, 0.2504, 0.2504)
Se (0.7496, 0.2820, 0.7496)
Se (0.7496, 0.7496, 0.2820)

Material: MnPbSe2
Method: DFT, PBE
State: relaxed

Values from the calculation:
* space-group type: Pnma

a b c (Å): 15.6386 4.3058 7.1049
angles (deg): 90.00 90.00 90.00
Positions (direct):
Mn (0.0573, 0.2500, 0.1219)
Mn (0.4427, 0.7500, 0.6219)
Mn (0.5573, 0.2500, 0.3781)
Mn (0.9427, 0.7500, 0.8781)
Pb (0.1446, 0.7500, 0.5168)
Pb (0.3554, 0.2500, 0.0168)
Pb (0.6446, 0.7500, 0.9832)
Pb (0.8554, 0.2500, 0.4832)
Se (0.0240, 0.2500, 0.7673)
Se (0.2021, 0.2500, 0.2685)
Se (0.2979, 0.7500, 0.7685)
Se (0.4760, 0.7500, 0.2673)
Se (0.5240, 0.2500, 0.7327)
Se (0.7021, 0.2500, 0.2315)
Se (0.7979, 0.7500, 0.7315)
Se (0.9760, 0.7500, 0.2327)

Material: MnPbSe2
Method: DFT, PBE
State: relaxed

Values from the calculation:
* space-group type: Cmmm
* DOS at the Fermi energy: 1.47 states/eV/f.u.

a b c (Å): 3.8694 3.8694 7.9969
angles (deg): 90.00 90.00 120.62
Positions (direct):
Mn (0.0000, 0.0000, 0.0000)
Pb (0.0000, 0.0000, 0.5000)
Se (0.5000, 0.5000, 0.2056)
Se (0.5000, 0.5000, 0.7944)

Material: MnPb2Se
Method: DFT, PBE
State: relaxed

Values from the calculation:
* space-group type: I4/mmm
* DOS at the Fermi energy: 2.62 states/eV/f.u.

a b c (Å): 5.9070 5.9070 5.9070
angles (deg): 135.29 135.29 65.08
Positions (direct):
Mn (0.0000, 0.0000, 0.0000)
Pb (0.2500, 0.7500, 0.5000)
Pb (0.7500, 0.2500, 0.5000)
Se (0.5000, 0.5000, 0.0000)

Material: Mn5Pb3Se12
Method: DFT, PBE
State: relaxed

Values from the calculation:
* space-group type: Ia-3d
* DOS at the Fermi energy: 7.51 states/eV/f.u.

a b c (Å): 13.8079 13.8079 13.8079
angles (deg): 109.47 109.47 109.47
Positions (direct):
Mn (0.0000, 0.0000, 0.0000)
Mn (0.0000, 0.0000, 0.5000)
Mn (0.0000, 0.5000, 0.0000)
Mn (0.0000, 0.5000, 0.5000)
Mn (0.1250, 0.7500, 0.8750)
Mn (0.1250, 0.8750, 0.2500)
Mn (0.2500, 0.1250, 0.8750)
Mn (0.2500, 0.6250, 0.3750)
Mn (0.3750, 0.2500, 0.6250)
Mn (0.3750, 0.6250, 0.7500)
Mn (0.5000, 0.0000, 0.0000)
Mn (0.5000, 0.0000, 0.5000)
Mn (0.5000, 0.5000, 0.0000)
Mn (0.5000, 0.5000, 0.5000)
Mn (0.6250, 0.3750, 0.2500)
Mn (0.6250, 0.7500, 0.3750)
Mn (0.7500, 0.3750, 0.6250)
Mn (0.7500, 0.8750, 0.1250)
Mn (0.8750, 0.1250, 0.7500)
Mn (0.8750, 0.2500, 0.1250)
Pb (0.1250, 0.2500, 0.3750)
Pb (0.1250, 0.3750, 0.7500)
Pb (0.2500, 0.3750, 0.1250)
Pb (0.2500, 0.8750, 0.6250)
Pb (0.3750, 0.1250, 0.2500)
Pb (0.3750, 0.7500, 0.1250)
Pb (0.6250, 0.2500, 0.8750)
Pb (0.6250, 0.8750, 0.7500)
Pb (0.7500, 0.1250, 0.3750)
Pb (0.7500, 0.6250, 0.8750)
Pb (0.8750, 0.6250, 0.2500)
Pb (0.8750, 0.7500, 0.6250)
Se (0.0207, 0.1995, 0.1154)
Se (0.0207, 0.3212, 0.9052)
Se (0.0841, 0.6995, 0.6788)
Se (0.0841, 0.8846, 0.4052)
Se (0.0948, 0.6154, 0.4159)
Se (0.0948, 0.9793, 0.6788)
Se (0.1154, 0.0207, 0.1995)
Se (0.1154, 0.5948, 0.9159)
Se (0.1788, 0.1995, 0.5841)
Se (0.1788, 0.4793, 0.5948)
Se (0.1995, 0.1154, 0.0207)
Se (0.1995, 0.5841, 0.1788)
Se (0.3005, 0.3212, 0.9159)
Se (0.3005, 0.4793, 0.3846)
Se (0.3212, 0.9052, 0.0207)
Se (0.3212, 0.9159, 0.3005)
Se (0.3846, 0.3005, 0.4793)
Se (0.3846, 0.5841, 0.9052)
Se (0.4052, 0.0841, 0.8846)
Se (0.4052, 0.8212, 0.5207)
Se (0.4159, 0.0948, 0.6154)
Se (0.4159, 0.8212, 0.8005)
Se (0.4793, 0.3846, 0.3005)
Se (0.4793, 0.5948, 0.1788)
Se (0.5207, 0.4052, 0.8212)
Se (0.5207, 0.6154, 0.6995)
Se (0.5841, 0.1788, 0.1995)
Se (0.5841, 0.9052, 0.3846)
Se (0.5948, 0.1788, 0.4793)
Se (0.5948, 0.9159, 0.1154)
Se (0.6154, 0.4159, 0.0948)
Se (0.6154, 0.6995, 0.5207)
Se (0.6788, 0.0841, 0.6995)
Se (0.6788, 0.0948, 0.9793)
Se (0.6995, 0.5207, 0.6154)
Se (0.6995, 0.6788, 0.0841)
Se (0.8005, 0.4159, 0.8212)
Se (0.8005, 0.8846, 0.9793)
Se (0.8212, 0.5207, 0.4052)
Se (0.8212, 0.8005, 0.4159)
Se (0.8846, 0.4052, 0.0841)
Se (0.8846, 0.9793, 0.8005)
Se (0.9052, 0.0207, 0.3212)
Se (0.9052, 0.3846, 0.5841)
Se (0.9159, 0.1154, 0.5948)
Se (0.9159, 0.3005, 0.3212)
Se (0.9793, 0.6788, 0.0948)
Se (0.9793, 0.8005, 0.8846)

Material: Mn2PbSe
Method: DFT, PBE
State: relaxed

Values from the calculation:
* E above lowest polymorph: 97 kJ/mol of formula units
* space-group type: I-4m2
* DOS at the Fermi energy: 2.01 states/eV/f.u.

a b c (Å): 6.0230 6.0230 6.0230
angles (deg): 141.71 141.71 55.26
Positions (direct):
Mn (0.0000, 0.0000, 0.0000)
Mn (0.7500, 0.2500, 0.5000)
Pb (0.2500, 0.7500, 0.5000)
Se (0.5000, 0.5000, 0.0000)

Material: MnPbSe2
Method: DFT, PBE
State: relaxed

Values from the calculation:
* space-group type: Pm
* DOS at the Fermi energy: 0.01 states/eV/f.u.

a b c (Å): 4.0832 4.3850 6.6278
angles (deg): 90.00 106.01 90.00
Positions (direct):
Mn (0.0000, 0.0000, 0.0000)
Pb (0.6861, 0.5000, 0.5434)
Se (0.0718, 0.5000, 0.1992)
Se (0.3890, 0.0000, 0.7497)

Material: Mn2PbSe
Method: DFT, PBE
State: relaxed

Values from the calculation:
* E above lowest polymorph: 15 kJ/mol of formula units
* space-group type: Cm
* DOS at the Fermi energy: 1.65 states/eV/f.u.

a b c (Å): 4.3907 4.3907 6.7590
angles (deg): 102.54 102.54 45.19
Positions (direct):
Mn (0.0000, 0.0000, 0.0000)
Mn (0.7296, 0.7296, 0.1184)
Pb (0.2224, 0.2224, 0.7344)
Se (0.4633, 0.4633, 0.2695)

no.,E_form (uncorrected) (eV/atom)
1,-0.378
2,-0.429
3,-0.177
4,0.252
5,-0.342
6,0.306
7,-0.398
8,0.094